TaFe2 after structural relaxation, computed with PBE.

Calculated values
- Volume: 13.6 Å³/atom
- DFT total energy: -9.438 eV per atom
- SG: No. 194
- N(E_F): 1.58 states/eV per atom

Lattice parameters (Å, degrees): 3.9837 3.9837 5.9480 90.00 90.00 120.00
Fractional positions:
Ta 0.0000 0.0000 0.2500
Ta 0.0000 0.0000 0.7500
Fe 0.6667 0.3333 0.0328
Fe 0.6667 0.3333 0.4672
Fe 0.3333 0.6667 0.5328
Fe 0.3333 0.6667 0.9672

TaFe after structural relaxation, computed with PBE.

Calculated values
- Volume: 14.5 Å³/atom
- DFT total energy: -10.076 eV per atom
- SG: No. 227
- N(E_F): 0.67 states/eV per atom

Lattice parameters (Å, degrees): 4.3436 4.3436 4.3436 60.00 60.00 60.00
Fractional positions:
Fe 0.0000 0.0000 0.0000
Fe 0.2500 0.2500 0.2500
Ta 0.7500 0.7500 0.7500
Ta 0.5000 0.5000 0.5000

Ta4Fe after structural relaxation, computed with PBE.

Calculated values
- Volume: 19.0 Å³/atom
- Energy above the most stable polymorph in this dataset: 807 meV per atom
- DFT total energy: -10.395 eV per atom
- SG: No. 221
- N(E_F): 1.38 states/eV per atom

Lattice parameters (Å, degrees): 4.5650 4.5650 4.5650 90.00 90.00 90.00
Fractional positions:
Fe 0.5000 0.5000 0.5000
Ta 0.0000 0.0000 0.0000
Ta 0.5000 0.0000 0.5000
Ta 0.0000 0.5000 0.5000
Ta 0.5000 0.5000 0.0000

Ta6Fe23 after structural relaxation, computed with PBE.

Calculated values
- Volume: 12.4 Å³/atom
- DFT total energy: -9.245 eV per atom
- SG: No. 225
- N(E_F): 1.19 states/eV per atom

Lattice parameters (Å, degrees): 7.9904 7.9904 7.9904 60.00 60.00 60.00
Fractional positions:
Ta 0.2007 0.7993 0.7993
Ta 0.7993 0.2007 0.2007
Ta 0.2007 0.2007 0.7993
Ta 0.7993 0.7993 0.2007
Ta 0.2007 0.7993 0.2007
Ta 0.7993 0.2007 0.7993
Fe 0.5000 0.5000 0.5000
Fe 0.5000 0.0000 0.0000
Fe 0.0000 0.5000 0.5000
Fe 0.5000 0.5000 0.0000
Fe 0.0000 0.0000 0.5000
Fe 0.5000 0.0000 0.5000
Fe 0.0000 0.5000 0.0000
Fe 0.1379 0.6207 0.6207
Fe 0.6207 0.6207 0.1379
Fe 0.6207 0.1379 0.6207
Fe 0.6207 0.6207 0.6207
Fe 0.3793 0.3793 0.8621
Fe 0.8621 0.3793 0.3793
Fe 0.3793 0.8621 0.3793
Fe 0.3793 0.3793 0.3793
Fe 0.5094 0.8302 0.8302
Fe 0.8302 0.8302 0.5094
Fe 0.8302 0.5094 0.8302
Fe 0.8302 0.8302 0.8302
Fe 0.1698 0.1698 0.4906
Fe 0.4906 0.1698 0.1698
Fe 0.1698 0.4906 0.1698
Fe 0.1698 0.1698 0.1698

Ta5Fe3 after structural relaxation, computed with PBE.

Calculated values
- Volume: 15.3 Å³/atom
- Energy above the most stable polymorph in this dataset: 28 meV per atom
- DFT total energy: -10.631 eV per atom
- SG: No. 65
- N(E_F): 0.92 states/eV per atom

Lattice parameters (Å, degrees): 5.4256 5.4256 4.4156 90.00 90.00 70.68
Fractional positions:
Fe 0.5000 0.5000 0.0000
Fe 0.2512 0.2512 0.5000
Fe 0.7488 0.7488 0.5000
Ta 0.0000 0.0000 0.0000
Ta 0.0000 0.5000 0.0000
Ta 0.5000 0.0000 0.0000
Ta 0.7404 0.2596 0.5000
Ta 0.2596 0.7404 0.5000

TaFe after structural relaxation, computed with PBE.

Calculated values
- Volume: 14.7 Å³/atom
- DFT total energy: -10.198 eV per atom
- SG: No. 8
- N(E_F): 0.66 states/eV per atom

Lattice parameters (Å, degrees): 5.1201 5.1201 6.1574 72.68 72.68 35.16
Fractional positions:
Ta 0.3039 0.3039 0.3807
Ta 0.9852 0.9852 0.5527
Ta 0.2944 0.2944 0.9012
Fe 0.9784 0.9784 0.0490
Fe 0.6337 0.6337 0.2171
Fe 0.6377 0.6377 0.7326

Question: The highest DFT total energy belongs to which entry?
Answer: Ta6Fe23

Repeat the third record exactly.
Ta4Fe after structural relaxation, computed with PBE.

Calculated values
- Volume: 19.0 Å³/atom
- Energy above the most stable polymorph in this dataset: 807 meV per atom
- DFT total energy: -10.395 eV per atom
- SG: No. 221
- N(E_F): 1.38 states/eV per atom

Lattice parameters (Å, degrees): 4.5650 4.5650 4.5650 90.00 90.00 90.00
Fractional positions:
Fe 0.5000 0.5000 0.5000
Ta 0.0000 0.0000 0.0000
Ta 0.5000 0.0000 0.5000
Ta 0.0000 0.5000 0.5000
Ta 0.5000 0.5000 0.0000